# 1
This record from Alexandria via LeMat-Bulk describes crystalline InAsSe2 at its relaxed geometry. The functional is PBE.

Lattice parameters (Å, degrees): 3.5963 3.5963 8.8404 90.00 90.00 111.49
Fractional coordinates of all 4 atoms:
In 0.0000 0.0000 0.0000
As 0.5000 0.5000 0.7251
Se 0.0000 0.0000 0.5573
Se 0.5000 0.5000 0.1927

Calculated values
Energy relative to the elements, uncorrected: 0.15 eV per atom
Total magnetic moment: 0.0 μB/f.u.
SG: Cmm2

# 2
This record from Alexandria via LeMat-Bulk describes crystalline ThMgIrAu at its relaxed geometry. The functional is PBE.

Lattice parameters (Å, degrees): 4.9371 4.9371 4.9371 60.00 60.00 60.00
Fractional coordinates of all 4 atoms:
Th 0.0000 0.0000 0.0000
Mg 0.5000 0.5000 0.5000
Ir 0.7500 0.7500 0.7500
Au 0.2500 0.2500 0.2500

Calculated values
Raw total energy: -23.45 eV for the cell shown
Total magnetic moment: 0.0 μB/f.u.
SG: F-43m